DFT (GGA-PBE) results for Pr5Ag2Bi after structural relaxation.

Cell lengths 8.545, 8.545, 9.087 Å; angles 118.05, 118.05, 90.00 degrees
Sites, in units of the cell vectors:
Pr: 0.507 0.700 0.707
Pr: 0.800 0.993 0.293
Pr: 0.000 0.000 0.000
Pr: 0.500 0.500 0.000
Pr: 0.200 0.007 0.707
Pr: 0.700 0.200 0.707
Pr: 0.007 0.507 0.707
Pr: 0.300 0.800 0.293
Pr: 0.993 0.493 0.293
Pr: 0.493 0.300 0.293
Ag: 0.134 0.366 0.000
Ag: 0.634 0.134 0.000
Ag: 0.366 0.866 0.000
Ag: 0.866 0.634 0.000
Bi: 0.750 0.750 0.500
Bi: 0.250 0.250 0.500

Summary:
- Space-group type: I4/mcm
- ΔE_f: -0.3469 eV per atom
- Energy: -0.3331 Ry/atom

=====

DFT (GGA-PBE) results for Pr4AgBi after structural relaxation.

Cell lengths 6.154, 8.888, 8.595 Å; angles 113.59, 100.90, 109.06 degrees
Sites, in units of the cell vectors:
Pr: 0.069 0.213 0.822
Pr: 0.767 0.706 0.618
Pr: 0.253 0.609 0.822
Pr: 0.351 0.912 0.618
Pr: 0.649 0.088 0.382
Pr: 0.747 0.391 0.178
Pr: 0.233 0.294 0.382
Pr: 0.931 0.787 0.178
Ag: 0.252 0.002 0.005
Ag: 0.748 0.998 0.995
Bi: 0.364 0.614 0.229
Bi: 0.636 0.386 0.771

Summary:
- Space-group type: C2/c
- ΔE_f: -0.3312 eV per atom
- Energy: -0.3410 Ry/atom

=====

DFT (GGA-PBE) results for PrAg2Bi2 after structural relaxation.

Cell lengths 4.642, 4.622, 12.423 Å; angles 90.00, 100.77, 90.00 degrees
Sites, in units of the cell vectors:
Pr: 0.357 0.250 0.713
Pr: 0.643 0.750 0.287
Ag: 0.035 0.750 0.071
Ag: 0.465 0.750 0.929
Ag: 0.965 0.250 0.929
Ag: 0.535 0.250 0.071
Bi: 0.750 0.250 0.500
Bi: 0.250 0.750 0.500
Bi: 0.886 0.750 0.772
Bi: 0.114 0.250 0.228

Summary:
- Space-group type: Cmcm
- ΔE_f: -0.3957 eV per atom
- Energy: -0.2973 Ry/atom

=====

DFT (GGA-PBE) results for Pr12Ag6Bi after structural relaxation.

Cell lengths 8.597, 8.597, 8.597 Å; angles 92.17, 92.17, 92.17 degrees
Sites, in units of the cell vectors:
Pr: 0.751 0.662 0.411
Pr: 0.411 0.751 0.662
Pr: 0.662 0.411 0.751
Pr: 0.249 0.338 0.589
Pr: 0.589 0.249 0.338
Pr: 0.338 0.589 0.249
Pr: 0.150 0.980 0.353
Pr: 0.020 0.647 0.850
Pr: 0.647 0.850 0.020
Pr: 0.850 0.020 0.647
Pr: 0.980 0.353 0.150
Pr: 0.353 0.150 0.980
Ag: 0.506 0.912 0.346
Ag: 0.654 0.494 0.088
Ag: 0.088 0.654 0.494
Ag: 0.494 0.088 0.654
Ag: 0.346 0.506 0.912
Ag: 0.912 0.346 0.506
Bi: 0.000 0.000 0.000

Summary:
- Space-group type: R-3
- ΔE_f: -0.0616 eV per atom
- Energy: -0.3076 Ry/atom

=====

DFT (GGA-PBE) results for PrAgBi after structural relaxation.

Cell lengths 4.716, 5.857, 6.609 Å; angles 90.00, 90.00, 113.74 degrees
Sites, in units of the cell vectors:
Ag: 0.629 0.258 0.750
Ag: 0.371 0.742 0.250
Pr: 0.681 0.363 0.250
Pr: 0.319 0.637 0.750
Bi: 0.000 0.000 0.000
Bi: 0.000 0.000 0.500

Summary:
- Space-group type: Cmcm
- ΔE_f: -0.4691 eV per atom
- Energy: -0.3165 Ry/atom

=====

DFT (GGA-PBE) results for Pr8Ag3Bi2 after structural relaxation.

Cell lengths 6.435, 8.503, 8.989 Å; angles 118.23, 92.88, 90.00 degrees
Sites, in units of the cell vectors:
Pr: 0.872 0.586 0.172
Pr: 0.128 0.414 0.828
Pr: 0.867 0.175 0.349
Pr: 0.133 0.825 0.651
Pr: 0.631 0.603 0.781
Pr: 0.631 0.178 0.781
Pr: 0.369 0.822 0.219
Pr: 0.369 0.397 0.219
Ag: 0.500 0.000 0.000
Ag: 0.000 0.164 0.000
Ag: 0.000 0.836 0.000
Bi: 0.371 0.243 0.486
Bi: 0.629 0.757 0.514

Summary:
- Space-group type: C2/m
- ΔE_f: -0.2137 eV per atom
- Energy: -0.3241 Ry/atom

=====

DFT (GGA-PBE) results for PrAgBi after structural relaxation.

Cell lengths 4.307, 4.307, 5.598 Å; angles 112.63, 112.63, 90.00 degrees
Sites, in units of the cell vectors:
Pr: 0.288 0.288 0.577
Bi: 0.941 0.941 0.881
Ag: 0.621 0.621 0.242

Summary:
- Space-group type: I4mm
- ΔE_f: -0.3231 eV per atom
- Energy: -0.3058 Ry/atom

=====

DFT (GGA-PBE) results for PrAgBi after structural relaxation.

Cell lengths 4.341, 4.762, 4.762 Å; angles 120.00, 90.00, 90.00 degrees
Sites, in units of the cell vectors:
Pr: 0.645 0.667 0.333
Bi: 0.101 0.000 0.000
Ag: 0.254 0.333 0.667

Summary:
- Space-group type: P3m1
- ΔE_f: -0.4770 eV per atom
- Energy: -0.3171 Ry/atom

=====

DFT (GGA-PBE) results for PrAg4Bi after structural relaxation.

Cell lengths 5.765, 5.765, 5.765 Å; angles 60.00, 60.00, 60.00 degrees
Sites, in units of the cell vectors:
Pr: 0.000 0.000 0.000
Bi: 0.250 0.250 0.250
Ag: 0.625 0.625 0.124
Ag: 0.625 0.124 0.625
Ag: 0.625 0.625 0.625
Ag: 0.124 0.625 0.625

Summary:
- Space-group type: F-43m
- ΔE_f: -0.1980 eV per atom
- Energy: -0.2603 Ry/atom

=====

DFT (GGA-PBE) results for PrPuAgBi after structural relaxation.

Cell lengths 5.443, 5.443, 5.443 Å; angles 60.00, 60.00, 60.00 degrees
Sites, in units of the cell vectors:
Pr: 0.500 0.500 0.500
Bi: 0.750 0.750 0.750
Ag: 0.250 0.250 0.250
Pu: 0.000 0.000 0.000

Summary:
- Space-group type: F-43m
- ΔE_f: -0.3194 eV per atom
- Energy: -0.4983 Ry/atom

=====

DFT (GGA-PBE) results for PrScAgBi after structural relaxation.

Cell lengths 5.284, 5.284, 5.284 Å; angles 60.00, 60.00, 60.00 degrees
Sites, in units of the cell vectors:
Pr: 0.500 0.500 0.500
Sc: 0.000 0.000 0.000
Bi: 0.750 0.750 0.750
Ag: 0.250 0.250 0.250

Summary:
- Space-group type: F-43m
- ΔE_f: -0.3772 eV per atom
- Energy: -0.3556 Ry/atom

=====

DFT (GGA-PBE) results for PrThAgBi after structural relaxation.

Cell lengths 5.477, 5.477, 5.477 Å; angles 60.00, 60.00, 60.00 degrees
Sites, in units of the cell vectors:
Pr: 0.500 0.500 0.500
Ag: 0.250 0.250 0.250
Bi: 0.750 0.750 0.750
Th: 0.000 0.000 0.000

Summary:
- Space-group type: F-43m
- ΔE_f: -0.3164 eV per atom
- Energy: -0.3711 Ry/atom